A plane-wave DFT calculation with PBE was carried out for a geometry-optimized Pr2YTm5 structure.

a = 9.4315 Å, b = 9.4315 Å, c = 6.5463 Å
α = 97.63°, β = 97.63°, γ = 62.95°
Positions (direct):
Pr1 0.1677 0.6762 0.8856
Pr2 0.3238 0.8323 0.6144
Pr3 0.6762 0.1677 0.3856
Pr4 0.8323 0.3238 0.1144
Y1 0.0000 0.5000 0.0000
Y2 0.5000 0.0000 0.5000
Tm1 0.0141 0.1890 0.6484
Tm2 0.1890 0.0141 0.1484
Tm3 0.2148 0.3914 0.4751
Tm4 0.3914 0.2148 0.9751
Tm5 0.4407 0.5593 0.2500
Tm6 0.5593 0.4407 0.7500
Tm7 0.6086 0.7852 0.0249
Tm8 0.7852 0.6086 0.5249
Tm9 0.8110 0.9859 0.8516
Tm10 0.9859 0.8110 0.3516

Calculated values
The formation energy from the elements comes out at 177 meV/atom. The offset from the most stable computed form comes out at 147.4 meV per atom. Its space-group type is No. 15.


A plane-wave DFT calculation with PBE was carried out for a geometry-optimized Zr6Tl2H structure.

a = 6.3567 Å, b = 6.3567 Å, c = 6.3567 Å
α = 119.93°, β = 119.93°, γ = 90.12°
Positions (direct):
Zr1 0.2488 0.2488 0.0000
Zr2 0.2490 0.2490 0.4980
Zr3 0.2490 0.7510 0.0000
Zr4 0.7510 0.2490 0.0000
Zr5 0.7512 0.7512 0.0000
Zr6 0.7510 0.7510 0.5020
Tl1 0.2500 0.7500 0.5000
Tl2 0.7500 0.2500 0.5000
H1 0.5000 0.5000 0.0000

Calculated values
The offset from the most stable computed form comes out at 0.0 meV per atom. Its space-group type is No. 139.


A plane-wave DFT calculation with PBE was carried out for a geometry-optimized ScGeHRu2 structure.

a = 4.0769 Å, b = 4.0769 Å, c = 3.7997 Å
α = 90.00°, β = 90.00°, γ = 90.00°
Positions (direct):
Sc1 0.0000 0.0000 0.0000
Ge1 0.5000 0.5000 0.0000
H1 0.0000 0.0000 0.5000
Ru1 0.0000 0.5000 0.5000
Ru2 0.5000 0.0000 0.5000

Calculated values
The offset from the most stable computed form comes out at 57.2 meV per atom. Its space-group type is No. 123.


> The lowest offset from the most stable computed form belongs to which entry?

Zr6Tl2H


> The lowest offset from the most stable computed form belongs to which entry?

Zr6Tl2H


> Which value of offset from the most stable computed form does entry 2 give?

0.0 meV per atom